Arrangement 1

Computed, not measured: an optimized crystal structure of GaN2Cl2 at the GGA-PBE level of DFT.

Unit cell a=6.0677 b=6.0677 c=3.9494 alpha=90.00 beta=90.00 gamma=90.00
With the nearest neighbours (Å) after each atom.
Atoms (fractional coordinates):
Ga 0.0000 0.0000 0.0000  4 N 2.15
Ga 0.5000 0.5000 0.0000  4 N 2.15
N 0.2357 0.2643 0.0000  2 Cl 2.06, 2 Ga 2.15
N 0.2643 0.7643 0.0000  2 Cl 2.06, 2 Ga 2.15
N 0.7357 0.2357 0.0000  2 Cl 2.06, 2 Ga 2.15
N 0.7643 0.7357 0.0000  2 Cl 2.06, 2 Ga 2.15
Cl 0.1689 0.3311 0.5000  2 N 2.06
Cl 0.3311 0.8311 0.5000  2 N 2.06
Cl 0.6689 0.1689 0.5000  2 N 2.06
Cl 0.8311 0.6689 0.5000  2 N 2.06

* crystal system: tetragonal
* symmetry: P4/mbm, No. 127



Arrangement 2

Computed, not measured: an optimized crystal structure of GaN2Cl2 at the GGA-PBE level of DFT.

Unit cell a=5.1509 b=5.1509 c=5.1509 alpha=118.68 beta=118.68 gamma=92.31
With the nearest neighbours (Å) after each atom.
Atoms (fractional coordinates):
Ga 0.0000 0.0000 0.0000  2 N 3.01, 8 Cl 3.18
N 0.4218 0.4218 0.0000  1 N 1.12
N 0.5782 0.5782 0.0000  1 N 1.12
Cl 0.2500 0.7500 0.5000  4 N 2.90, 4 Ga 3.18
Cl 0.7500 0.2500 0.5000  4 N 2.90, 4 Ga 3.18

* crystal system: tetragonal
* symmetry: I4/mmm, No. 139



Question: of the structures shown, which is the most stable? Reply: arrangement 2.